# La3AlCu3

A relaxed La3AlCu3 crystal (PBE, Alexandria via LeMat-Bulk).

Cell lengths 5.7970, 5.7970, 13.9746 Å; angles 90.00, 90.00, 136.06 degrees
Closest atoms and distances in Å follow each position.
Fractional positions:
1 La 0.0060 0.9940 0.7500  7 Cu 3.04-3.25
2 La 0.2895 0.7105 0.6021  6 Cu 3.05-3.19
3 La 0.2895 0.7105 0.8979  6 Cu 3.05-3.19
4 La 0.7105 0.2895 0.1021  6 Cu 3.05-3.19
5 La 0.7105 0.2895 0.3979  6 Cu 3.05-3.19
6 La 0.9940 0.0060 0.2500  7 Cu 3.04-3.25
7 Al 0.0000 0.0000 0.0000  4 Cu 2.62
8 Al 0.0000 0.0000 0.5000  4 Cu 2.62
9 Cu 0.2961 0.7039 0.2500  2 Cu 2.65
10 Cu 0.4273 0.5727 0.0894  2 Al 2.62, 1 Cu 2.65
11 Cu 0.4273 0.5727 0.4106  2 Al 2.62, 1 Cu 2.65
12 Cu 0.5727 0.4273 0.5894  2 Al 2.62, 1 Cu 2.65
13 Cu 0.5727 0.4273 0.9106  2 Al 2.62, 1 Cu 2.65
14 Cu 0.7039 0.2961 0.7500  2 Cu 2.65

Results
The calculation puts the total magnetization at 0.0 μB per cell. Its space group is Cmcm. The total energy comes out at -4.668 eV per atom. As for the formation energy: -0.266 eV/atom.



# Tl2CrRe

A relaxed Tl2CrRe crystal (PBE, Alexandria via LeMat-Bulk).

Cell lengths 5.1316, 5.1316, 5.1316 Å; angles 130.54, 130.54, 72.55 degrees
Closest atoms and distances in Å follow each position.
Fractional positions:
1 Tl 0.2500 0.7500 0.5000  4 Cr 2.98, 4 Re 2.98, 4 Tl 3.04
2 Tl 0.7500 0.2500 0.5000  4 Cr 2.98, 4 Re 2.98, 4 Tl 3.04
3 Cr 0.0000 0.0000 0.0000  8 Tl 2.98, 4 Re 3.04
4 Re 0.5000 0.5000 0.0000  8 Tl 2.98, 4 Cr 3.04

Results
The calculation puts the total magnetization at 3.0 μB per cell. Its space group is I4/mmm. For the offset from the most stable computed form, the calculation gives 492 meV/atom. The total energy comes out at -5.693 eV per atom. As for the formation energy: 1.008 eV/atom.